No. 1
Crystalline AsOsBr2 at its relaxed geometry. Source: Alexandria via LeMat-Bulk, functional PBE.

## Properties
Electronic total energy in eV/atom: -4.4946
Uncorrected formation energy in eV/atom: 0.312
Offset from the most stable computed form in meV/atom: 222
Volume in Å³/atom: 25.0

The structure in POSCAR format:
```
AsOsBr2
1.0
3.027 0.000 0.000
0.000 3.628 0.000
0.000 0.000 9.121
As Os Br
1 1 2
direct
0.000 0.000 0.000
0.500 0.500 0.908
0.000 0.000 0.271
0.500 0.500 0.642
```



No. 2
Crystalline Ba12Hg3P5 at its relaxed geometry. Source: Alexandria via LeMat-Bulk, functional PBE.

## Properties
Energy of formation in eV per atom: -0.577
Electronic total energy in eV/atom: -3.1284
Volume in Å³/atom: 47.9

The structure in POSCAR format:
```
Ba12Hg3P5
1.0
-9.859 9.859 9.859
9.859 -9.859 9.859
9.859 9.859 -9.859
Ba Hg P
48 12 20
direct
0.032 0.208 0.122
0.032 0.324 0.911
0.087 0.708 0.676
0.087 0.878 0.411
0.089 0.622 0.413
0.089 0.968 0.676
0.122 0.032 0.208
0.122 0.589 0.913
0.176 0.208 0.587
0.176 0.468 0.589
0.208 0.122 0.032
0.208 0.587 0.176
0.292 0.324 0.913
0.292 0.468 0.378
0.324 0.911 0.032
0.324 0.913 0.292
0.378 0.292 0.468
0.378 0.587 0.911
0.411 0.087 0.878
0.411 0.824 0.532
0.413 0.089 0.622
0.413 0.824 0.792
0.468 0.378 0.292
0.468 0.589 0.176
0.532 0.411 0.824
0.532 0.622 0.708
0.587 0.176 0.208
0.587 0.911 0.378
0.589 0.176 0.468
0.589 0.913 0.122
0.622 0.413 0.089
0.622 0.708 0.532
0.676 0.087 0.708
0.676 0.089 0.968
0.708 0.532 0.622
0.708 0.676 0.087
0.792 0.413 0.824
0.792 0.878 0.968
0.824 0.532 0.411
0.824 0.792 0.413
0.878 0.411 0.087
0.878 0.968 0.792
0.911 0.032 0.324
0.911 0.378 0.587
0.913 0.122 0.589
0.913 0.292 0.324
0.968 0.676 0.089
0.968 0.792 0.878
0.125 0.250 0.375
0.125 0.375 0.750
0.250 0.375 0.125
0.250 0.875 0.625
0.375 0.125 0.250
0.375 0.750 0.125
0.625 0.250 0.875
0.625 0.875 0.750
0.750 0.125 0.375
0.750 0.625 0.875
0.875 0.625 0.250
0.875 0.750 0.625
0.000 0.000 0.000
0.000 0.000 0.500
0.000 0.500 0.000
0.000 0.500 0.500
0.125 0.750 0.875
0.125 0.875 0.250
0.250 0.125 0.875
0.250 0.625 0.375
0.375 0.250 0.625
0.375 0.625 0.750
0.500 0.000 0.000
0.500 0.000 0.500
0.500 0.500 0.000
0.500 0.500 0.500
0.625 0.375 0.250
0.625 0.750 0.375
0.750 0.375 0.625
0.750 0.875 0.125
0.875 0.125 0.750
0.875 0.250 0.125
```



No. 3
Crystalline LiNd2PaSe6 at its relaxed geometry. Source: Alexandria via LeMat-Bulk, functional PBE.

## Properties
Electronic total energy in eV/atom: -5.4699
Uncorrected formation energy in eV/atom: -1.285
Volume in Å³/atom: 30.5

The structure in POSCAR format:
```
LiNd2PaSe6
1.0
6.856 0.000 0.000
0.000 6.856 0.000
0.000 0.000 6.488
Li Nd Pa Se
1 2 1 6
direct
0.000 0.000 0.000
0.000 0.500 0.454
0.500 0.000 0.454
0.500 0.500 0.061
0.000 0.000 0.624
0.238 0.238 0.192
0.238 0.762 0.192
0.500 0.500 0.629
0.762 0.238 0.192
0.762 0.762 0.192
```



No. 4
Crystalline KPt2 at its relaxed geometry. Source: Alexandria via LeMat-Bulk, functional PBE.

## Properties
Energy of formation in eV per atom: 0.451
Electronic total energy in eV/atom: -3.9415
Volume in Å³/atom: 22.0

The structure in POSCAR format:
```
KPt2
1.0
9.234 0.000 0.000
-4.617 7.997 0.000
0.000 0.000 2.686
K Pt
3 6
direct
0.000 0.000 0.000
0.333 0.667 0.500
0.667 0.333 0.500
0.000 0.356 0.500
0.000 0.613 0.000
0.356 0.000 0.500
0.387 0.387 0.000
0.613 0.000 0.000
0.644 0.644 0.500
```



No. 5
Crystalline LaAlSi2 at its relaxed geometry. Source: Alexandria via LeMat-Bulk, functional PBE.

## Properties
Electronic total energy in eV/atom: -5.1694
Uncorrected formation energy in eV/atom: -0.290
Volume in Å³/atom: 22.2

The structure in POSCAR format:
```
LaAlSi2
1.0
4.387 0.000 0.000
0.000 3.858 0.000
-0.647 0.000 5.241
La Al Si
1 1 2
direct
0.000 0.000 0.000
0.533 0.500 0.262
0.067 0.500 0.528
0.419 0.000 0.579
```



No. 6
Crystalline Er3Tm2Sc7 at its relaxed geometry. Source: Alexandria via LeMat-Bulk, functional PBE.

## Properties
Energy of formation in eV per atom: 0.099
Electronic total energy in eV/atom: -5.4804
Offset from the most stable computed form in meV/atom: 0
Volume in Å³/atom: 27.0

The structure in POSCAR format:
```
Er3Tm2Sc7
1.0
5.426 0.000 0.000
0.000 3.399 0.000
-0.885 0.000 17.578
Er Tm Sc
3 2 7
direct
0.000 0.000 0.000
0.277 0.500 0.631
0.723 0.500 0.369
0.210 0.000 0.291
0.790 0.000 0.709
0.196 0.500 0.142
0.243 0.000 0.463
0.302 0.000 0.826
0.500 0.500 0.000
0.698 0.000 0.174
0.757 0.000 0.537
0.804 0.500 0.858
```



No. 7
Crystalline Sr2Ag2Sb at its relaxed geometry. Source: Alexandria via LeMat-Bulk, functional PBE.

## Properties
Electronic total energy in eV/atom: -2.9677
Uncorrected formation energy in eV/atom: -0.330
Offset from the most stable computed form in meV/atom: 147
Volume in Å³/atom: 32.2

The structure in POSCAR format:
```
Sr2Ag2Sb
1.0
-3.082 3.082 4.237
3.082 -3.082 4.237
3.082 3.082 -4.237
Sr Ag Sb
2 2 1
direct
0.250 0.750 0.500
0.750 0.250 0.500
0.156 0.156 0.000
0.844 0.844 0.000
0.500 0.500 0.000
```



No. 8
Crystalline Pm2BiCl at its relaxed geometry. Source: Alexandria via LeMat-Bulk, functional PBE.

## Properties
Electronic total energy in eV/atom: -4.7562
Uncorrected formation energy in eV/atom: -0.949
Offset from the most stable computed form in meV/atom: 94
Volume in Å³/atom: 41.9

The structure in POSCAR format:
```
Pm2BiCl
1.0
2.393 1.381 8.446
-2.393 1.381 8.446
0.000 -2.763 8.446
Pm Bi Cl
2 1 1
direct
0.108 0.108 0.108
0.892 0.892 0.892
0.500 0.500 0.500
0.000 0.000 0.000
```



No. 9
Crystalline AcYNiAu at its relaxed geometry. Source: Alexandria via LeMat-Bulk, functional PBE.

## Properties
Energy of formation in eV per atom: -0.434
Electronic total energy in eV/atom: -5.3415
Volume in Å³/atom: 25.0

The structure in POSCAR format:
```
AcYNiAu
1.0
0.000 3.682 3.682
3.682 0.000 3.682
3.682 3.682 0.000
Ac Y Ni Au
1 1 1 1
direct
0.000 0.000 0.000
0.500 0.500 0.500
0.250 0.250 0.250
0.750 0.750 0.750
```



No. 10
Crystalline Ba6CdRh at its relaxed geometry. Source: Alexandria via LeMat-Bulk, functional PBE.

## Properties
Energy of formation in eV per atom: -0.149
Electronic total energy in eV/atom: -2.6243
Volume in Å³/atom: 53.8

The structure in POSCAR format:
```
Ba6CdRh
1.0
8.000 0.000 0.000
3.998 6.930 0.000
3.992 2.314 7.768
Ba Cd Rh
6 1 1
direct
0.064 0.398 0.268
0.230 0.936 0.732
0.398 0.770 0.268
0.602 0.230 0.732
0.770 0.064 0.268
0.936 0.602 0.732
0.500 0.500 0.000
0.000 0.000 0.500
```



No. 11
Crystalline Ca3U2CdAs6 at its relaxed geometry. Source: Alexandria via LeMat-Bulk, functional PBE.

## Properties
Energy of formation in eV per atom: -0.815
Electronic total energy in eV/atom: -5.5980
Volume in Å³/atom: 25.5

The structure in POSCAR format:
```
Ca3U2CdAs6
1.0
3.594 -6.214 0.000
3.594 6.214 0.000
-2.381 0.000 6.862
Ca U Cd As
3 2 1 6
direct
0.000 0.000 0.000
0.339 0.661 0.000
0.661 0.339 0.000
0.168 0.832 0.500
0.832 0.168 0.500
0.500 0.500 0.500
0.075 0.423 0.269
0.230 0.230 0.731
0.423 0.075 0.269
0.577 0.925 0.731
0.770 0.770 0.269
0.925 0.577 0.731
```



No. 12
Crystalline NpTeS at its relaxed geometry. Source: Alexandria via LeMat-Bulk, functional PBE.

## Properties
Electronic total energy in eV/atom: -7.5551
Uncorrected formation energy in eV/atom: -0.818
Offset from the most stable computed form in meV/atom: 157
Volume in Å³/atom: 24.1

The structure in POSCAR format:
```
NpTeS
1.0
-1.810 1.810 5.524
1.810 -1.810 5.524
1.810 1.810 -5.524
Np Te S
1 1 1
direct
0.000 0.000 0.000
0.314 0.314 0.000
0.597 0.597 0.000
```